Record 1
## Ca2NdSmSe4 (PBE-GGA)

Data for Ca2NdSmSe4 after structural relaxation.

Lattice parameters (Å, degrees): 7.217 4.170 7.372 90.00 109.07 90.00
Sites, in units of the cell vectors:
Ca 0.000 0.000 0.000
Ca 0.500 0.500 0.000
Nd 0.000 0.500 0.500
Sm 0.500 0.000 0.500
Se 0.251 0.500 0.246
Se 0.254 0.000 0.756
Se 0.746 0.000 0.244
Se 0.749 0.500 0.754



Record 2
## CaNd3Sm4Se8 (PBE-GGA)

Data for CaNd3Sm4Se8 after structural relaxation.

Lattice parameters (Å, degrees): 8.392 8.392 8.392 60.07 60.07 60.07
Sites, in units of the cell vectors:
Ca 0.000 0.000 0.000
Nd 0.000 0.500 0.500
Nd 0.500 0.000 0.500
Nd 0.500 0.500 0.000
Sm 0.000 0.000 0.500
Sm 0.000 0.500 0.000
Sm 0.500 0.000 0.000
Sm 0.500 0.500 0.500
Se 0.245 0.752 0.752
Se 0.248 0.248 0.248
Se 0.248 0.248 0.755
Se 0.248 0.755 0.248
Se 0.752 0.245 0.752
Se 0.752 0.752 0.245
Se 0.752 0.752 0.752
Se 0.755 0.248 0.248



Record 3
## Ca4NdSm3Se8 (PBE-GGA)

Data for Ca4NdSm3Se8 after structural relaxation.

Lattice parameters (Å, degrees): 8.450 8.450 8.450 58.98 58.98 58.98
Sites, in units of the cell vectors:
Ca 0.000 0.000 0.000
Ca 0.000 0.500 0.500
Ca 0.500 0.000 0.500
Ca 0.500 0.500 0.000
Nd 0.500 0.500 0.500
Sm 0.000 0.000 0.500
Sm 0.000 0.500 0.000
Sm 0.500 0.000 0.000
Se 0.247 0.247 0.751
Se 0.247 0.751 0.247
Se 0.249 0.753 0.753
Se 0.251 0.251 0.251
Se 0.749 0.749 0.749
Se 0.751 0.247 0.247
Se 0.753 0.249 0.753
Se 0.753 0.753 0.249



Record 4
## CaNd4SmSe8 (PBE-GGA)

Data for CaNd4SmSe8 after structural relaxation.

Lattice parameters (Å, degrees): 8.678 8.678 8.678 60.15 60.15 60.15
Sites, in units of the cell vectors:
Ca 0.000 0.000 0.000
Nd 0.373 0.373 0.881
Nd 0.373 0.881 0.373
Nd 0.751 0.751 0.751
Nd 0.881 0.373 0.373
Sm 0.373 0.373 0.373
Se 0.133 0.133 0.133
Se 0.135 0.135 0.601
Se 0.135 0.601 0.135
Se 0.151 0.615 0.615
Se 0.601 0.135 0.135
Se 0.615 0.151 0.615
Se 0.615 0.615 0.151
Se 0.617 0.617 0.617



Record 5
## Ca2Nd3SmSe6 (PBE-GGA)

Data for Ca2Nd3SmSe6 after structural relaxation.

Lattice parameters (Å, degrees): 7.256 7.256 7.359 99.48 99.48 120.09
Sites, in units of the cell vectors:
Ca 0.167 0.833 0.000
Ca 0.833 0.167 0.000
Nd 0.000 0.000 0.500
Nd 0.332 0.668 0.500
Nd 0.668 0.332 0.500
Sm 0.500 0.500 0.000
Se 0.084 0.419 0.759
Se 0.246 0.246 0.245
Se 0.419 0.084 0.759
Se 0.581 0.916 0.241
Se 0.754 0.754 0.755
Se 0.916 0.581 0.241



Record 6
## Ca3NdSm3Se8 (PBE-GGA)

Data for Ca3NdSm3Se8 after structural relaxation.

Lattice parameters (Å, degrees): 8.408 8.408 8.408 59.55 59.55 59.55
Sites, in units of the cell vectors:
Ca 0.000 0.500 0.500
Ca 0.500 0.000 0.500
Ca 0.500 0.500 0.000
Nd 0.500 0.500 0.500
Sm 0.000 0.000 0.500
Sm 0.000 0.500 0.000
Sm 0.500 0.000 0.000
Se 0.247 0.752 0.752
Se 0.248 0.248 0.753
Se 0.248 0.753 0.248
Se 0.250 0.250 0.250
Se 0.750 0.750 0.750
Se 0.752 0.247 0.752
Se 0.752 0.752 0.247
Se 0.753 0.248 0.248



Record 7
## Ca3NdSm4Se8 (PBE-GGA)

Data for Ca3NdSm4Se8 after structural relaxation.

Lattice parameters (Å, degrees): 8.403 8.403 8.403 59.59 59.59 59.59
Sites, in units of the cell vectors:
Ca 0.000 0.500 0.500
Ca 0.500 0.000 0.500
Ca 0.500 0.500 0.000
Nd 0.000 0.000 0.000
Sm 0.000 0.000 0.500
Sm 0.000 0.500 0.000
Sm 0.500 0.000 0.000
Sm 0.500 0.500 0.500
Se 0.251 0.251 0.251
Se 0.252 0.252 0.746
Se 0.252 0.746 0.252
Se 0.254 0.748 0.748
Se 0.746 0.252 0.252
Se 0.748 0.254 0.748
Se 0.748 0.748 0.254
Se 0.749 0.749 0.749



Record 8
## CaNd4Sm3Se8 (PBE-GGA)

Data for CaNd4Sm3Se8 after structural relaxation.

Lattice parameters (Å, degrees): 8.423 8.423 8.423 59.79 59.79 59.79
Sites, in units of the cell vectors:
Ca 0.000 0.000 0.000
Nd 0.000 0.000 0.500
Nd 0.000 0.500 0.000
Nd 0.500 0.000 0.000
Nd 0.500 0.500 0.500
Sm 0.000 0.500 0.500
Sm 0.500 0.000 0.500
Sm 0.500 0.500 0.000
Se 0.246 0.246 0.750
Se 0.246 0.750 0.246
Se 0.250 0.754 0.754
Se 0.252 0.252 0.252
Se 0.748 0.748 0.748
Se 0.750 0.246 0.246
Se 0.754 0.250 0.754
Se 0.754 0.754 0.250



Record 9
## Ca2NdSm3Se6 (PBE-GGA)

Data for Ca2NdSm3Se6 after structural relaxation.

Lattice parameters (Å, degrees): 7.240 7.240 7.297 99.54 99.54 120.10
Sites, in units of the cell vectors:
Ca 0.167 0.833 0.000
Ca 0.833 0.167 0.000
Nd 0.500 0.500 0.000
Sm 0.000 0.000 0.500
Sm 0.333 0.667 0.500
Sm 0.667 0.333 0.500
Se 0.079 0.417 0.752
Se 0.245 0.245 0.250
Se 0.417 0.079 0.752
Se 0.583 0.921 0.248
Se 0.755 0.755 0.750
Se 0.921 0.583 0.248



Record 10
## Ca4Nd3SmSe8 (PBE-GGA)

Data for Ca4Nd3SmSe8 after structural relaxation.

Lattice parameters (Å, degrees): 8.485 8.485 8.485 58.93 58.93 58.93
Sites, in units of the cell vectors:
Ca 0.000 0.000 0.000
Ca 0.000 0.500 0.500
Ca 0.500 0.000 0.500
Ca 0.500 0.500 0.000
Nd 0.000 0.000 0.500
Nd 0.000 0.500 0.000
Nd 0.500 0.000 0.000
Sm 0.500 0.500 0.500
Se 0.250 0.250 0.746
Se 0.250 0.746 0.250
Se 0.252 0.252 0.252
Se 0.254 0.750 0.750
Se 0.746 0.250 0.250
Se 0.748 0.748 0.748
Se 0.750 0.254 0.750
Se 0.750 0.750 0.254



| no. | formation energy (no corrections) (eV/atom) | raw total energy (eV/atom) |
| --- | --- | --- |
| 1 | -1.902 | -5.330 |
| 2 | -1.839 | -5.781 |
| 3 | -1.901 | -5.327 |
| 4 | -1.799 | -5.633 |
| 5 | -1.878 | -5.539 |
| 6 | -1.917 | -5.438 |
| 7 | -1.878 | -5.474 |
| 8 | -1.843 | -5.787 |
| 9 | -1.872 | -5.525 |
| 10 | -1.905 | -5.336 |